Here is crystalline Cs2Sn12Pt7 at its relaxed geometry from Alexandria. Energies are from PBE-GGA.

```
Cs2Sn12Pt7
1.0
11.4103 0.0000 0.0000
-5.7051 9.8816 0.0000
0.0000 0.0000 4.4977
Cs Sn Pt
2 12 7
Direct
0.0000 0.0000 0.0000
0.3333 0.6667 0.5000
0.0503 0.7767 0.5000
0.1095 0.4136 0.0000
0.2233 0.2736 0.5000
0.3041 0.8905 0.0000
0.3851 0.1971 0.0000
0.5558 0.1163 0.5000
0.5605 0.4442 0.5000
0.5864 0.6959 0.0000
0.7264 0.9497 0.5000
0.8029 0.1880 0.0000
0.8120 0.6149 0.0000
0.8837 0.4395 0.5000
0.0611 0.6371 0.0000
0.2840 0.0304 0.5000
0.3629 0.4240 0.0000
0.5760 0.9389 0.0000
0.6667 0.3333 0.0000
0.7464 0.7160 0.5000
0.9696 0.2536 0.5000
```

Computed properties:
Raw total energy in eV/atom: -4.75
Fermi-level density of states in states/eV/atom: 0.405
Calculated volume in Å³ per atom: 24.15
Total magnetization in μB per cell: 0.0
Calculated density in g cm⁻³: 10.006
Formation enthalpy at 0 K in eV/atom: -0.37